! Li4Co7O2F14 | Alexandria | PBE+U | relaxed; values from VASP
! M_tot, μB per formula unit: 3.07
! Energy relative to the lowest polymorph listed for this composition, eV per atom: 0.0963
! Calculated total energy, eV per atom: -5.005
&SYSTEM
  ibrav = 0, nat = 27, ntyp = 4
/
ATOMIC_SPECIES
F 19.00 F.upf
Li 6.94 Li.upf
Co 58.93 Co.upf
O 16.00 O.upf
CELL_PARAMETERS angstrom
-4.3972 -0.4546 3.9786
5.4437 -2.2047 1.4679
3.4258 9.9509 0.7776
ATOMIC_POSITIONS angstrom
F 0.5248 8.0934 3.8006
F -1.2177 3.0804 3.5904
F 5.8435 4.1762 2.7637
F 3.4743 2.0262 2.1226
F -0.9175 0.0211 3.7179
F 0.9679 3.3183 1.4518
F 1.0755 5.1398 4.0944
F 3.9165 -0.6695 2.2862
F 3.4878 4.0428 4.7813
F 2.8746 5.2896 2.0088
F 1.3103 0.2648 1.5573
F 2.3980 8.2536 1.7826
F 3.0040 7.0682 4.5701
F 5.4679 7.1981 2.5656
Li 0.6862 3.3250 3.4070
Li -0.6002 0.0231 1.7635
Li 4.9802 7.3530 4.4511
Li 3.9082 3.9280 2.9075
Co 2.8576 2.3425 5.7468
Co 0.6458 0.3884 5.1641
Co 2.2615 5.3600 5.6546
Co -2.2194 1.4757 4.5010
Co 5.9654 8.8066 1.4975
Co 2.6726 0.5795 3.3750
Co 1.7056 6.6788 2.9150
O 1.6124 1.8753 4.3210
O 2.0324 -0.8498 4.4907